Compound: MgCo3O4
Source: the Alexandria database
Functional: PBE+U
Structure: optimized geometry

Output
The calculation puts the electronic total energy at -43.97 eV/cell.

a b c (Å): 5.0204 5.0204 5.0204
angles (deg): 90.00 90.00 90.00
Element x y z (fractional)
Mg 0.0000 0.0000 0.0000
Co 0.0000 0.0000 0.5000
Co 0.0000 0.5000 0.0000
Co 0.5000 0.0000 0.0000
O 0.2177 0.2177 0.2177
O 0.2177 0.7823 0.7823
O 0.7823 0.2177 0.7823
O 0.7823 0.7823 0.2177